No. 1
BaV3Mo | PBE | relaxed

Results
The calculation puts the density of states at the Fermi level at 2.0783 states/eV per atom. Its electronic total energy is -34.86 eV for the cell shown. The density is 5.4 g/cm3.

Structure (CIF):
```
data_BaV3Mo
_chemical_formula_sum 'Ba1 V3 Mo1'
_space_group_name_H-M_alt 'P m -3 m'
_space_group_IT_number 221
_space_group_name_Hall '-P 4 2 3'
_cell_length_a 4.9212
_cell_length_b 4.9212
_cell_length_c 4.9212
_cell_angle_alpha 90.00
_cell_angle_beta 90.00
_cell_angle_gamma 90.00
loop_
_atom_site_label
_atom_site_type_symbol
_atom_site_fract_x
_atom_site_fract_y
_atom_site_fract_z
Ba1 Ba 0.0000 0.0000 0.0000
V1 V 0.0000 0.5000 0.5000
Mo1 Mo 0.5000 0.5000 0.5000
```



No. 2
BaVMo3 | PBE | relaxed

Results
The calculation puts the density of states at the Fermi level at 2.1985 states/eV per atom. The energy above the lowest structure with this stoichiometry is 1849.4 meV per atom. The density is 6.6 g/cm3.

Structure (CIF):
```
data_BaVMo3
_chemical_formula_sum 'Ba1 V1 Mo3'
_space_group_name_H-M_alt 'P m -3 m'
_space_group_IT_number 221
_space_group_name_Hall '-P 4 2 3'
_cell_length_a 4.9355
_cell_length_b 4.9355
_cell_length_c 4.9355
_cell_angle_alpha 90.00
_cell_angle_beta 90.00
_cell_angle_gamma 90.00
loop_
_atom_site_label
_atom_site_type_symbol
_atom_site_fract_x
_atom_site_fract_y
_atom_site_fract_z
Ba1 Ba 0.0000 0.0000 0.0000
V1 V 0.5000 0.5000 0.5000
Mo1 Mo 0.0000 0.0000 0.5000
```



No. 3
Ba3VMo | PBE | relaxed

Results
The calculation puts the density of states at the Fermi level at 2.2723 states/eV per atom. The energy above the lowest structure with this stoichiometry is 0.0 meV per atom. The density is 4.5 g/cm3.

Structure (CIF):
```
data_Ba3VMo
_chemical_formula_sum 'Ba3 V1 Mo1'
_space_group_name_H-M_alt 'P m -3 m'
_space_group_IT_number 221
_space_group_name_Hall '-P 4 2 3'
_cell_length_a 5.9270
_cell_length_b 5.9270
_cell_length_c 5.9270
_cell_angle_alpha 90.00
_cell_angle_beta 90.00
_cell_angle_gamma 90.00
loop_
_atom_site_label
_atom_site_type_symbol
_atom_site_fract_x
_atom_site_fract_y
_atom_site_fract_z
Ba1 Ba 0.0000 0.0000 0.5000
V1 V 0.5000 0.5000 0.5000
Mo1 Mo 0.0000 0.0000 0.0000
```



No. 4
BaVMo2 | PBE | relaxed

Results
The calculation puts the density of states at the Fermi level at 1.3081 states/eV per atom. The energy above the lowest structure with this stoichiometry is 0.0 meV per atom. The density is 8.3 g/cm3.

Structure (CIF):
```
data_BaVMo2
_chemical_formula_sum 'Ba4 V4 Mo8'
_space_group_name_H-M_alt 'F m -3 m'
_space_group_IT_number 225
_space_group_name_Hall '-F 4 2 3'
_cell_length_a 6.7152
_cell_length_b 6.7152
_cell_length_c 6.7152
_cell_angle_alpha 90.00
_cell_angle_beta 90.00
_cell_angle_gamma 90.00
loop_
_atom_site_label
_atom_site_type_symbol
_atom_site_fract_x
_atom_site_fract_y
_atom_site_fract_z
Ba1 Ba 0.0000 0.0000 0.0000
V1 V 0.0000 0.0000 0.5000
Mo1 Mo 0.2500 0.2500 0.2500
```



No. 5
BaVMo3 | PBE | relaxed

Results
The calculation puts the density of states at the Fermi level at 1.5267 states/eV per atom. The energy above the lowest structure with this stoichiometry is 0.0 meV per atom. The density is 7.2 g/cm3.

Structure (CIF):
```
data_BaVMo3
_chemical_formula_sum 'Ba1 V1 Mo3'
_space_group_name_H-M_alt 'P m -3 m'
_space_group_IT_number 221
_space_group_name_Hall '-P 4 2 3'
_cell_length_a 4.7845
_cell_length_b 4.7845
_cell_length_c 4.7845
_cell_angle_alpha 90.00
_cell_angle_beta 90.00
_cell_angle_gamma 90.00
loop_
_atom_site_label
_atom_site_type_symbol
_atom_site_fract_x
_atom_site_fract_y
_atom_site_fract_z
Ba1 Ba 0.0000 0.0000 0.0000
V1 V 0.5000 0.5000 0.5000
Mo1 Mo 0.0000 0.5000 0.5000
```



No. 6
BaVMo2 | PBE | relaxed

Results
The calculation puts the density of states at the Fermi level at 1.2859 states/eV per atom. The energy above the lowest structure with this stoichiometry is 30.3 meV per atom. The density is 5.8 g/cm3.

Structure (CIF):
```
data_BaVMo2
_chemical_formula_sum 'Ba4 V4 Mo8'
_space_group_name_H-M_alt 'I 41/a m d'
_space_group_IT_number 141
_cell_length_a 5.1025
_cell_length_b 5.1025
_cell_length_c 16.6690
_cell_angle_alpha 90.00
_cell_angle_beta 90.00
_cell_angle_gamma 90.00
loop_
_space_group_symop_operation_xyz
'x,y,z'
'-x,-y,-z'
'-y+1/4,x+3/4,z+1/4'
'y+1/4,-x+3/4,-z+1/4'
'-x+1/2,-y,z+1/2'
'x+1/2,y,-z+1/2'
'y+1/4,-x+1/4,z+3/4'
'-y+1/4,x+1/4,-z+3/4'
'x,-y,-z'
'-x,y,z'
'-y+1/4,-x+1/4,-z+3/4'
'y+1/4,x+1/4,z+3/4'
'-x+1/2,y,-z+1/2'
'x+1/2,-y,z+1/2'
'y+1/4,x+3/4,-z+1/4'
'-y+1/4,-x+3/4,z+1/4'
'x+1/2,y+1/2,z+1/2'
'-x+1/2,-y+1/2,-z+1/2'
'-y+3/4,x+1/4,z+3/4'
'y+3/4,-x+1/4,-z+3/4'
'-x,-y+1/2,z'
'x,y+1/2,-z'
'y+3/4,-x+3/4,z+1/4'
'-y+3/4,x+3/4,-z+1/4'
'x+1/2,-y+1/2,-z+1/2'
'-x+1/2,y+1/2,z+1/2'
'-y+3/4,-x+3/4,-z+1/4'
'y+3/4,x+3/4,z+1/4'
'-x,y+1/2,-z'
'x,-y+1/2,z'
'y+3/4,x+1/4,-z+3/4'
'-y+3/4,-x+1/4,z+3/4'
loop_
_atom_site_label
_atom_site_type_symbol
_atom_site_fract_x
_atom_site_fract_y
_atom_site_fract_z
Ba1 Ba 0.0000 0.2500 0.3750
V1 V 0.0000 0.2500 0.8750
Mo1 Mo 0.0000 0.0000 0.0000
```



No. 7
BaMoW | PBE | relaxed

Results
The calculation puts the density of states at the Fermi level at 1.1226 states/eV per atom. The energy above the lowest structure with this stoichiometry is 217.1 meV per atom. The density is 9.5 g/cm3.

Structure (CIF):
```
data_BaMoW
_chemical_formula_sum 'Ba1 Mo1 W1'
_space_group_name_H-M_alt 'P 3 m 1'
_space_group_IT_number 156
_cell_length_a 3.3123
_cell_length_b 3.3123
_cell_length_c 7.6875
_cell_angle_alpha 90.00
_cell_angle_beta 90.00
_cell_angle_gamma 120.00
loop_
_space_group_symop_operation_xyz
'x,y,z'
'-y,x-y,z'
'-x+y,-x,z'
'-y,-x,z'
'-x+y,y,z'
'x,x-y,z'
loop_
_atom_site_label
_atom_site_type_symbol
_atom_site_fract_x
_atom_site_fract_y
_atom_site_fract_z
Ba1 Ba 0.0000 0.0000 0.0000
Mo1 Mo 0.6667 0.3333 0.3938
W1 W 0.3333 0.6667 0.6051
```



No. 8
BaMoW3 | PBE | relaxed

Results
The calculation puts the density of states at the Fermi level at 1.0523 states/eV per atom. The energy above the lowest structure with this stoichiometry is 0.0 meV per atom. The density is 10.9 g/cm3.

Structure (CIF):
```
data_BaMoW3
_chemical_formula_sum 'Ba1 Mo1 W3'
_space_group_name_H-M_alt 'P m -3 m'
_space_group_IT_number 221
_space_group_name_Hall '-P 4 2 3'
_cell_length_a 4.9322
_cell_length_b 4.9322
_cell_length_c 4.9322
_cell_angle_alpha 90.00
_cell_angle_beta 90.00
_cell_angle_gamma 90.00
loop_
_atom_site_label
_atom_site_type_symbol
_atom_site_fract_x
_atom_site_fract_y
_atom_site_fract_z
Ba1 Ba 0.0000 0.0000 0.0000
Mo1 Mo 0.5000 0.5000 0.5000
W1 W 0.0000 0.5000 0.5000
```